This record from the Alexandria database describes V2HPt after structural relaxation. The functional is PBE-GGA.

Cell: 4.167 4.167 4.167 Å, 60.00 60.00 60.00°
Atoms (fractional coordinates):
H (0.000, 0.000, 0.000)
Pt (0.500, 0.500, 0.500)
V (0.750, 0.750, 0.750)
V (0.250, 0.250, 0.250)

- Energy relative to the lowest polymorph listed for this composition: 391 meV per atom
- SG: No. 225